A plane-wave DFT calculation with GGA+U was carried out for a relaxed structure of MnP2O10.

Cell lengths 8.852, 5.123, 8.252 Å; angles 55.72, 90.00, 90.00 degrees
Element x y z (fractional)
O: 0.133 0.903 0.661
O: 0.441 0.095 0.683
P: 0.682 0.373 0.852
O: 0.386 0.643 0.967
O: 0.643 0.343 0.389
O: 0.614 0.357 0.033
O: 0.114 0.643 0.467
O: 0.941 0.905 0.817
P: 0.182 0.627 0.648
P: 0.318 0.627 0.148
O: 0.059 0.095 0.183
O: 0.886 0.357 0.533
O: 0.346 0.293 0.333
Mn: 0.000 0.000 0.000
O: 0.367 0.903 0.161
O: 0.654 0.707 0.667
O: 0.867 0.097 0.339
O: 0.846 0.707 0.167
O: 0.633 0.097 0.839
Mn: 0.500 0.000 0.500
P: 0.818 0.373 0.352
O: 0.143 0.657 0.111
O: 0.357 0.657 0.611
O: 0.154 0.293 0.833
O: 0.857 0.343 0.889
O: 0.559 0.905 0.317

electronic total energy = -6.100 eV per atom
total moment = 6.1 μB/cell